[1]
## BaZn3Sb3 (GGA-PBE)

Data for a relaxed structure of BaZn3Sb3.

Unit cell a=7.706 b=7.706 c=9.442 alpha=65.92 beta=65.92 gamma=60.00
Fractional positions:
Zn  0.475  0.783  0.612
Zn  0.783  0.130  0.612
Zn  0.130  0.475  0.612
Zn  0.217  0.870  0.388
Zn  0.870  0.525  0.388
Zn  0.525  0.217  0.388
Ba  0.334  0.334  0.999
Ba  0.666  0.666  0.001
Sb  0.413  0.092  0.721
Sb  0.908  0.227  0.279
Sb  0.227  0.587  0.279
Sb  0.587  0.908  0.279
Sb  0.092  0.773  0.721
Sb  0.773  0.413  0.721

## Properties
E above lowest polymorph	22.5	meV per atom
E	-40.47	eV/cell

[2]
## BaZn3Sb3 (GGA-PBE)

Data for a relaxed structure of BaZn3Sb3.

Unit cell a=4.621 b=10.608 c=10.608 alpha=120.01 beta=90.00 gamma=90.00
Fractional positions:
Zn  0.250  0.594  0.936
Zn  0.250  0.064  0.658
Zn  0.750  0.936  0.342
Zn  0.750  0.658  0.594
Zn  0.750  0.406  0.064
Zn  0.250  0.342  0.406
Sb  0.250  0.601  0.685
Sb  0.750  0.916  0.601
Sb  0.750  0.399  0.315
Sb  0.750  0.685  0.084
Sb  0.250  0.315  0.916
Sb  0.250  0.084  0.399
Ba  0.750  0.333  0.667
Ba  0.250  0.667  0.333

## Properties
E above lowest polymorph	0.0	meV per atom
E	-40.78	eV/cell